First-principles (PBE-GGA) data for an optimized crystal structure of TlSb2Se4, as listed in Alexandria.

a b c (Å): 4.0279 4.0279 14.4716
angles (deg): 82.00 82.00 60.00
With the nearest neighbours (Å) after each atom.
Sites, in units of the cell vectors:
Se: 0.8683 0.8683 0.3952  3 Sb 2.82
Se: 0.2799 0.2799 0.1602  3 Sb 2.91
Tl: 0.0000 0.0000 0.0000  6 Se 3.26
Sb: 0.4276 0.4276 0.7171  6 Se 2.82-2.91
Se: 0.7201 0.7201 0.8398  3 Sb 2.91
Sb: 0.5724 0.5724 0.2829  6 Se 2.82-2.91
Se: 0.1317 0.1317 0.6048  3 Sb 2.82

Computed properties:
The value obtained for the electronic total energy is -3.76 eV per atom. The value obtained for the total magnetization is 0.00 μB/cell. The energy relative to the elements, uncorrected comes out at -1.79 eV per formula unit. The calculation puts the polymorph energy (0 for the lowest one) at 0.00 eV/f.u. As for the density: 6.32 Mg/m³.